No. 1
ErBeFe2H8: optimized geometry, PBE-GGA.

Output
The total energy comes out at -51.0 eV per cell. Its space group is No. 164. The calculation puts the density of states at the Fermi level at 2.37 states/eV per cell.

Cell lengths 4.383, 4.383, 5.634 Å; angles 90.00, 90.00, 120.00 degrees
Fractional coordinates of all 12 atoms:
1 Fe 0.667 0.333 0.118
2 Fe 0.333 0.667 0.882
3 H 0.333 0.667 0.603
4 H 0.142 0.858 0.814
5 H 0.858 0.716 0.186
6 H 0.667 0.333 0.397
7 H 0.142 0.284 0.814
8 H 0.284 0.142 0.186
9 H 0.858 0.142 0.186
10 H 0.716 0.858 0.814
11 Be 0.000 0.000 0.000
12 Er 0.000 0.000 0.500

=====

No. 2
ErLuBeFe: optimized geometry, PBE-GGA.

Output
The energy of formation comes out at 75 meV/atom. Its space group is No. 216. The calculation puts the density of states at the Fermi level at 4.11 states/eV per cell.

Cell lengths 4.672, 4.672, 4.672 Å; angles 60.00, 60.00, 60.00 degrees
Fractional coordinates of all 4 atoms:
1 Lu 0.750 0.750 0.750
2 Fe 0.500 0.500 0.500
3 Er 0.250 0.250 0.250
4 Be 0.000 0.000 0.000

=====

No. 3
ErBeFe2Si2: optimized geometry, PBE-GGA.

Output
For the raw formation energy, the calculation gives -10.00 kcal/mol of atoms. Its space group is No. 123. The calculation puts the density of states at the Fermi level at 2.95 states/eV per cell.

Cell lengths 3.964, 3.964, 5.133 Å; angles 90.00, 90.00, 90.00 degrees
Fractional coordinates of all 6 atoms:
1 Be 0.000 0.000 0.000
2 Fe 0.500 0.000 0.000
3 Fe 0.000 0.500 0.000
4 Si 0.500 0.500 0.742
5 Si 0.500 0.500 0.258
6 Er 0.000 0.000 0.500